LiAl2Si | GGA-PBE | relaxed Values from VASP.

The structure in Quantum ESPRESSO input format:
```
&SYSTEM
  ibrav = 0, nat = 4, ntyp = 3
/
ATOMIC_SPECIES
Si 28.09 Si.upf
Al 26.98 Al.upf
Li 6.94 Li.upf
ATOMIC_POSITIONS crystal
Si 0.750 0.750 0.750
Al 0.005 0.005 0.005
Al 0.495 0.495 0.495
Li 0.250 0.250 0.250
CELL_PARAMETERS angstrom
8.592 -0.039 -0.023
8.071 2.945 -0.023
8.071 1.407 2.587
```

Results
The calculation puts the uncorrected formation energy at 0.06 eV per atom. As for the total energy: -14.58 eV/f.u.



LiAl2Si | GGA-PBE | relaxed Values from VASP.

The structure in Quantum ESPRESSO input format:
```
&SYSTEM
  ibrav = 0, nat = 4, ntyp = 3
/
ATOMIC_SPECIES
Si 28.09 Si.upf
Li 6.94 Li.upf
Al 26.98 Al.upf
ATOMIC_POSITIONS crystal
Si 0.748 0.748 0.741
Li 0.496 0.496 0.506
Al 0.252 0.252 0.258
Al 0.005 0.005 0.996
CELL_PARAMETERS angstrom
-1.318 1.621 4.105
-3.549 1.891 2.247
-2.072 -4.132 1.889
```

Results
The calculation puts the uncorrected formation energy at -0.01 eV per atom. As for the total energy: -14.86 eV/f.u.



LiAlSi | GGA-PBE | relaxed Values from VASP.

The structure in Quantum ESPRESSO input format:
```
&SYSTEM
  ibrav = 0, nat = 12, ntyp = 3
/
ATOMIC_SPECIES
Li 6.94 Li.upf
Si 28.09 Si.upf
Al 26.98 Al.upf
ATOMIC_POSITIONS crystal
Li 0.884 0.250 0.568
Li 0.384 0.250 0.932
Li 0.616 0.750 0.068
Li 0.116 0.750 0.432
Si 0.777 0.250 0.876
Si 0.277 0.250 0.624
Si 0.223 0.750 0.124
Si 0.723 0.750 0.376
Al 0.430 0.250 0.310
Al 0.930 0.250 0.190
Al 0.070 0.750 0.810
Al 0.570 0.750 0.690
CELL_PARAMETERS angstrom
-1.663 4.686 4.329
-2.457 1.388 -2.447
-5.375 -4.523 2.831
```

Results
The calculation puts the uncorrected formation energy at -0.06 eV per atom. As for the total energy: -11.26 eV/f.u.



LiAlSi | GGA-PBE | relaxed Values from VASP.

The structure in Quantum ESPRESSO input format:
```
&SYSTEM
  ibrav = 0, nat = 3, ntyp = 3
/
ATOMIC_SPECIES
Si 28.09 Si.upf
Li 6.94 Li.upf
Al 26.98 Al.upf
ATOMIC_POSITIONS crystal
Si 0.334 0.334 0.000
Li 0.672 0.672 0.000
Al 0.994 0.994 0.000
CELL_PARAMETERS angstrom
6.438 -0.010 0.000
5.258 3.715 0.000
-5.848 -1.852 1.954
```

Results
The calculation puts the uncorrected formation energy at 0.00 eV per atom. As for the total energy: -11.07 eV/f.u.



LiAlSi | GGA-PBE | relaxed Values from VASP.

The structure in Quantum ESPRESSO input format:
```
&SYSTEM
  ibrav = 0, nat = 6, ntyp = 3
/
ATOMIC_SPECIES
Al 26.98 Al.upf
Si 28.09 Si.upf
Li 6.94 Li.upf
ATOMIC_POSITIONS crystal
Al 0.667 0.333 0.705
Al 0.667 0.333 0.295
Si 0.333 0.667 0.169
Si 0.333 0.667 0.831
Li 0.333 0.667 0.500
Li 0.000 0.000 0.000
CELL_PARAMETERS angstrom
3.590 -2.073 0.000
0.000 4.145 0.000
0.000 0.000 7.193
```

Results
The calculation puts the uncorrected formation energy at -0.11 eV per atom. As for the total energy: -11.42 eV/f.u.



LiAlSi2 | GGA-PBE | relaxed Values from VASP.

The structure in Quantum ESPRESSO input format:
```
&SYSTEM
  ibrav = 0, nat = 8, ntyp = 3
/
ATOMIC_SPECIES
Li 6.94 Li.upf
Si 28.09 Si.upf
Al 26.98 Al.upf
ATOMIC_POSITIONS crystal
Li 0.250 0.750 0.500
Li 0.500 0.500 0.000
Si 0.097 0.625 0.250
Si 0.875 0.903 0.750
Si 0.375 0.347 0.750
Si 0.653 0.125 0.250
Al 0.750 0.250 0.500
Al 0.000 0.000 0.000
CELL_PARAMETERS angstrom
7.293 0.000 0.000
0.000 7.293 0.000
3.647 3.647 2.594
```

Results
The calculation puts the uncorrected formation energy at 0.26 eV per atom. As for the total energy: -15.45 eV/f.u.



LiAlSi2 | GGA-PBE | relaxed Values from VASP.

The structure in Quantum ESPRESSO input format:
```
&SYSTEM
  ibrav = 0, nat = 4, ntyp = 3
/
ATOMIC_SPECIES
Al 26.98 Al.upf
Li 6.94 Li.upf
Si 28.09 Si.upf
ATOMIC_POSITIONS crystal
Al 0.500 0.000 0.500
Li 0.000 0.500 0.500
Si 0.000 0.000 0.000
Si 0.500 0.500 0.000
CELL_PARAMETERS angstrom
4.778 -0.030 -0.008
-1.816 4.420 -0.008
0.009 0.013 2.786
```

Results
The calculation puts the uncorrected formation energy at 0.03 eV per atom. As for the total energy: -16.38 eV/f.u.



LiAlSi | GGA-PBE | relaxed Values from VASP.

The structure in Quantum ESPRESSO input format:
```
&SYSTEM
  ibrav = 0, nat = 3, ntyp = 3
/
ATOMIC_SPECIES
Al 26.98 Al.upf
Si 28.09 Si.upf
Li 6.94 Li.upf
ATOMIC_POSITIONS crystal
Al 0.000 0.500 0.000
Si 0.500 0.000 0.000
Li 0.000 0.000 0.500
CELL_PARAMETERS angstrom
-3.017 0.668 0.486
-0.721 -3.867 0.839
0.870 0.778 4.334
```

Results
The calculation puts the uncorrected formation energy at 0.10 eV per atom. As for the total energy: -10.78 eV/f.u.



LiAlSi | GGA-PBE | relaxed Values from VASP.

The structure in Quantum ESPRESSO input format:
```
&SYSTEM
  ibrav = 0, nat = 12, ntyp = 3
/
ATOMIC_SPECIES
Al 26.98 Al.upf
Li 6.94 Li.upf
Si 28.09 Si.upf
ATOMIC_POSITIONS crystal
Al 0.352 0.750 0.570
Al 0.648 0.250 0.430
Al 0.852 0.750 0.930
Al 0.148 0.250 0.070
Li 0.024 0.250 0.665
Li 0.976 0.750 0.335
Li 0.476 0.750 0.165
Li 0.524 0.250 0.835
Si 0.771 0.250 0.113
Si 0.271 0.250 0.387
Si 0.229 0.750 0.887
Si 0.729 0.750 0.613
CELL_PARAMETERS angstrom
6.788 0.000 0.000
0.000 4.033 0.000
0.000 0.000 7.494
```

Results
The calculation puts the uncorrected formation energy at -0.18 eV per atom. As for the total energy: -11.63 eV/f.u.



LiAl3Si | GGA-PBE | relaxed Values from VASP.

The structure in Quantum ESPRESSO input format:
```
&SYSTEM
  ibrav = 0, nat = 5, ntyp = 3
/
ATOMIC_SPECIES
Al 26.98 Al.upf
Si 28.09 Si.upf
Li 6.94 Li.upf
ATOMIC_POSITIONS crystal
Al 0.000 0.000 0.500
Al 0.000 0.500 0.000
Al 0.500 0.000 0.000
Si 0.500 0.500 0.500
Li 0.000 0.000 0.000
CELL_PARAMETERS angstrom
4.458 0.000 0.000
0.000 4.458 0.000
0.000 0.000 4.458
```

Results
The calculation puts the uncorrected formation energy at 0.66 eV per atom. The value obtained for the relative energy among the computed polymorphs is 76.5 kJ/mol of formula units. As for the total energy: -15.25 eV/f.u.



LiAlSi2 | GGA-PBE | relaxed Values from VASP.

The structure in Quantum ESPRESSO input format:
```
&SYSTEM
  ibrav = 0, nat = 4, ntyp = 3
/
ATOMIC_SPECIES
Si 28.09 Si.upf
Al 26.98 Al.upf
Li 6.94 Li.upf
ATOMIC_POSITIONS crystal
Si 0.250 0.250 0.250
Si 0.000 0.000 0.000
Al 0.500 0.500 0.500
Li 0.750 0.750 0.750
CELL_PARAMETERS angstrom
4.402 0.000 0.000
2.201 3.812 0.000
2.201 1.271 3.594
```

Results
The calculation puts the uncorrected formation energy at 0.22 eV per atom. As for the total energy: -15.62 eV/f.u.



LiAlSi | GGA-PBE | relaxed Values from VASP.

The structure in Quantum ESPRESSO input format:
```
&SYSTEM
  ibrav = 0, nat = 6, ntyp = 3
/
ATOMIC_SPECIES
Al 26.98 Al.upf
Si 28.09 Si.upf
Li 6.94 Li.upf
ATOMIC_POSITIONS crystal
Al 0.579 0.919 0.243
Al 0.421 0.081 0.757
Si 0.819 0.484 0.121
Si 0.181 0.516 0.879
Li 0.850 0.760 0.686
Li 0.150 0.240 0.314
CELL_PARAMETERS angstrom
5.748 -0.013 -0.011
-1.454 3.819 0.006
0.123 -1.981 4.685
```

Results
The calculation puts the uncorrected formation energy at -0.14 eV per atom. As for the total energy: -11.51 eV/f.u.



LiAlSi | GGA-PBE | relaxed Values from VASP.

The structure in Quantum ESPRESSO input format:
```
&SYSTEM
  ibrav = 0, nat = 6, ntyp = 3
/
ATOMIC_SPECIES
Li 6.94 Li.upf
Si 28.09 Si.upf
Al 26.98 Al.upf
ATOMIC_POSITIONS crystal
Li 0.451 0.451 0.000
Li 0.549 0.549 0.000
Si 0.214 0.214 0.500
Si 0.786 0.786 0.500
Al 0.123 0.123 0.500
Al 0.877 0.877 0.500
CELL_PARAMETERS angstrom
13.946 -1.424 0.000
13.946 1.424 0.000
0.000 0.000 2.653
```

Results
The calculation puts the uncorrected formation energy at 0.19 eV per atom. As for the total energy: -10.50 eV/f.u.



LiAl2Si | GGA-PBE | relaxed Values from VASP.

The structure in Quantum ESPRESSO input format:
```
&SYSTEM
  ibrav = 0, nat = 4, ntyp = 3
/
ATOMIC_SPECIES
Al 26.98 Al.upf
Si 28.09 Si.upf
Li 6.94 Li.upf
ATOMIC_POSITIONS crystal
Al 0.500 0.500 0.000
Al 0.000 0.000 0.000
Si 0.250 0.750 0.500
Li 0.750 0.250 0.500
CELL_PARAMETERS angstrom
4.914 0.014 0.000
1.812 4.568 0.000
-3.363 -2.292 2.761
```

Results
The calculation puts the uncorrected formation energy at -0.03 eV per atom. As for the total energy: -14.93 eV/f.u.



LiAl2Si | GGA-PBE | relaxed Values from VASP.

The structure in Quantum ESPRESSO input format:
```
&SYSTEM
  ibrav = 0, nat = 4, ntyp = 3
/
ATOMIC_SPECIES
Al 26.98 Al.upf
Si 28.09 Si.upf
Li 6.94 Li.upf
ATOMIC_POSITIONS crystal
Al 0.000 0.000 0.990
Al 0.500 0.500 0.240
Si 0.500 0.500 0.755
Li 0.000 0.000 0.514
CELL_PARAMETERS angstrom
2.835 0.036 0.000
-0.037 2.835 0.000
0.000 0.000 7.897
```

Results
The calculation puts the uncorrected formation energy at 0.00 eV per atom. As for the total energy: -14.84 eV/f.u.



LiAlSi | GGA-PBE | relaxed Values from VASP.

The structure in Quantum ESPRESSO input format:
```
&SYSTEM
  ibrav = 0, nat = 6, ntyp = 3
/
ATOMIC_SPECIES
Si 28.09 Si.upf
Al 26.98 Al.upf
Li 6.94 Li.upf
ATOMIC_POSITIONS crystal
Si 0.044 0.044 0.044
Si 0.548 0.548 0.548
Al 0.671 0.671 0.671
Al 0.169 0.169 0.169
Li 0.287 0.287 0.287
Li 0.427 0.427 0.427
CELL_PARAMETERS angstrom
-1.939 2.637 6.574
1.553 4.645 5.472
-2.128 5.844 3.905
```

Results
The calculation puts the uncorrected formation energy at -0.14 eV per atom. As for the total energy: -11.50 eV/f.u.



LiAl3Si | GGA-PBE | relaxed Values from VASP.

The structure in Quantum ESPRESSO input format:
```
&SYSTEM
  ibrav = 0, nat = 5, ntyp = 3
/
ATOMIC_SPECIES
Al 26.98 Al.upf
Li 6.94 Li.upf
Si 28.09 Si.upf
ATOMIC_POSITIONS crystal
Al 0.000 0.500 0.000
Al 0.500 0.000 0.000
Al 0.000 0.000 0.500
Li 0.500 0.500 0.500
Si 0.000 0.000 0.000
CELL_PARAMETERS angstrom
-3.947 0.572 -2.789
-2.746 -2.022 3.471
-0.750 4.389 1.963
```

Results
The calculation puts the uncorrected formation energy at 0.51 eV per atom. The value obtained for the relative energy among the computed polymorphs is 0.0 kJ/mol of formula units. As for the total energy: -16.04 eV/f.u.



LiAlSi | GGA-PBE | relaxed Values from VASP.

The structure in Quantum ESPRESSO input format:
```
&SYSTEM
  ibrav = 0, nat = 6, ntyp = 3
/
ATOMIC_SPECIES
Al 26.98 Al.upf
Li 6.94 Li.upf
Si 28.09 Si.upf
ATOMIC_POSITIONS crystal
Al 0.073 0.586 0.777
Al 0.073 0.223 0.414
Li 0.852 0.356 0.644
Li 0.360 0.330 0.670
Si 0.695 0.995 0.674
Si 0.695 0.326 0.005
CELL_PARAMETERS angstrom
10.834 0.000 -0.111
3.797 3.709 -1.363
-3.797 3.709 1.363
```

Results
The calculation puts the uncorrected formation energy at -0.09 eV per atom. As for the total energy: -11.36 eV/f.u.



LiAlSi4 | GGA-PBE | relaxed Values from VASP.

The structure in Quantum ESPRESSO input format:
```
&SYSTEM
  ibrav = 0, nat = 6, ntyp = 3
/
ATOMIC_SPECIES
Si 28.09 Si.upf
Al 26.98 Al.upf
Li 6.94 Li.upf
ATOMIC_POSITIONS crystal
Si 0.625 0.124 0.625
Si 0.124 0.625 0.625
Si 0.625 0.625 0.124
Si 0.625 0.625 0.625
Al 0.250 0.250 0.250
Li 0.000 0.000 0.000
CELL_PARAMETERS angstrom
0.000 3.596 3.596
3.596 0.000 3.596
3.596 3.596 0.000
```

Results
The calculation puts the uncorrected formation energy at 0.22 eV per atom. As for the total energy: -26.05 eV/f.u.



LiAl4Si | GGA-PBE | relaxed Values from VASP.

The structure in Quantum ESPRESSO input format:
```
&SYSTEM
  ibrav = 0, nat = 6, ntyp = 3
/
ATOMIC_SPECIES
Al 26.98 Al.upf
Si 28.09 Si.upf
Li 6.94 Li.upf
ATOMIC_POSITIONS crystal
Al 0.375 0.375 0.874
Al 0.874 0.375 0.375
Al 0.375 0.874 0.375
Al 0.375 0.375 0.375
Si 0.000 0.000 0.000
Li 0.750 0.750 0.750
CELL_PARAMETERS angstrom
2.578 -0.971 4.553
-1.214 -4.308 2.878
3.435 -4.053 0.301
```

Results
The calculation puts the uncorrected formation energy at 0.20 eV per atom. As for the total energy: -21.12 eV/f.u.